A plane-wave DFT calculation with PBE+U was carried out for a relaxed structure of KVRuO4.

* theoretical density: 4.19 g cm⁻³
* calculated total energy: -6.64 eV per atom
* size of the total moment: 0.00 μB/cell

```
data_KVRuO4
_cell_length_a 5.323
_cell_length_b 5.395
_cell_length_c 7.290
_cell_angle_alpha 90.00
_cell_angle_beta 105.22
_cell_angle_gamma 90.00
_symmetry_space_group_name_H-M 'P 1 21/m 1'
_symmetry_Int_Tables_number 11
loop_
_symmetry_equiv_pos_as_xyz
'x,y,z'
'-x,-y,-z'
'-x,y+1/2,-z'
'x,-y+1/2,z'
loop_
_atom_site_label
_atom_site_fract_x
_atom_site_fract_y
_atom_site_fract_z
K1 0.237 0.250 0.464
V1 0.227 0.750 0.112
Ru1 0.308 0.250 0.961
O1 0.042 0.250 0.104
O2 0.045 0.750 0.285
O3 0.490 0.516 0.183
```